(w)
Material: NaPbN2F
Method: DFT, PBE-GGA
State: relaxed

abc: 4.6334 4.6334 4.1100
angles: 90.00 90.00 90.00
Positions (direct):
Pb (0.5000, 0.5000, 0.5000)
F (0.0000, 0.0000, 0.5000)
N (0.5000, 0.0000, 0.0000)
N (0.0000, 0.5000, 0.0000)
Na (0.0000, 0.0000, 0.0000)

Values from the calculation:
* N(E_F): 1.8 states/eV/cell
* SG: P4/mmm



(x)
Material: NaPbN2F
Method: DFT, PBE-GGA
State: relaxed

abc: 4.5317 4.5317 4.7140
angles: 90.00 90.00 90.00
Positions (direct):
F (0.0000, 0.0000, 0.5000)
Na (0.5000, 0.5000, 0.5000)
Pb (0.0000, 0.0000, 0.0000)
N (0.5000, 0.0000, 0.0000)
N (0.0000, 0.5000, 0.0000)

Values from the calculation:
* N(E_F): 1.6 states/eV/cell
* SG: P4/mmm



Which of them is the most stable? Correct choice: (x).



(w)
Material: NaRhN2F
Method: DFT, PBE-GGA
State: relaxed

abc: 4.1564 4.1564 3.7859
angles: 90.00 90.00 90.00
Positions (direct):
N (0.5000, 0.0000, 0.0000)
N (0.0000, 0.5000, 0.0000)
F (0.0000, 0.0000, 0.5000)
Na (0.0000, 0.0000, 0.0000)
Rh (0.5000, 0.5000, 0.5000)

Values from the calculation:
* N(E_F): 8.4 states/eV/cell
* SG: P4/mmm



(x)
Material: NaRhN2F
Method: DFT, PBE-GGA
State: relaxed

abc: 3.7407 3.7407 5.1995
angles: 90.00 90.00 90.00
Positions (direct):
N (0.5000, 0.0000, 0.0000)
N (0.0000, 0.5000, 0.0000)
F (0.0000, 0.0000, 0.5000)
Na (0.5000, 0.5000, 0.5000)
Rh (0.0000, 0.0000, 0.0000)

Values from the calculation:
* N(E_F): 1.9 states/eV/cell
* SG: P4/mmm



Which of them is the most stable? Correct choice: (x).



(w)
Material: NaRhNF2
Method: DFT, PBE-GGA
State: relaxed

abc: 4.0486 4.0486 4.3779
angles: 90.00 90.00 90.00
Positions (direct):
N (0.0000, 0.0000, 0.5000)
Rh (0.5000, 0.5000, 0.5000)
F (0.5000, 0.0000, 0.0000)
F (0.0000, 0.5000, 0.0000)
Na (0.0000, 0.0000, 0.0000)

Values from the calculation:
* N(E_F): 3.5 states/eV/cell
* SG: P4/mmm



(x)
Material: NaRhNF2
Method: DFT, PBE-GGA
State: relaxed

abc: 4.4125 4.4125 3.6614
angles: 90.00 90.00 90.00
Positions (direct):
F (0.5000, 0.0000, 0.0000)
F (0.0000, 0.5000, 0.0000)
Rh (0.0000, 0.0000, 0.0000)
N (0.0000, 0.0000, 0.5000)
Na (0.5000, 0.5000, 0.5000)

Values from the calculation:
* N(E_F): 1.8 states/eV/cell
* SG: P4/mmm



Which of them is the most stable? Correct choice: (x).



(w)
Material: NaScNF2
Method: DFT, PBE-GGA
State: relaxed

abc: 4.1635 4.1635 4.2230
angles: 90.00 90.00 90.00
Positions (direct):
N (0.0000, 0.0000, 0.5000)
Na (0.5000, 0.5000, 0.5000)
F (0.5000, 0.0000, 0.0000)
F (0.0000, 0.5000, 0.0000)
Sc (0.0000, 0.0000, 0.0000)

Values from the calculation:
* N(E_F): 5.1 states/eV/cell
* SG: P4/mmm



(x)
Material: NaScNF2
Method: DFT, PBE-GGA
State: relaxed

abc: 3.8126 3.8126 4.3978
angles: 90.00 90.00 90.00
Positions (direct):
F (0.5000, 0.0000, 0.0000)
F (0.0000, 0.5000, 0.0000)
N (0.0000, 0.0000, 0.5000)
Na (0.0000, 0.0000, 0.0000)
Sc (0.5000, 0.5000, 0.5000)

Values from the calculation:
* N(E_F): 0.1 states/eV/cell
* SG: P4/mmm



Which of them is the most stable? Correct choice: (w).